First-principles (PBE) data for crystalline KSr2Ca at its relaxed geometry, as listed in the Alexandria database.

a = 7.3458 Å, b = 7.3458 Å, c = 7.4308 Å
α = 81.54°, β = 81.54°, γ = 33.00°
Atoms (fractional coordinates):
Ca1 0.5023 0.5023 0.4874
K1 0.7532 0.7532 0.7480
Sr1 0.2463 0.2463 0.2576
Sr2 0.9982 0.9982 0.0069

**Polymorph energy (0 for the lowest one)**: 40 meV/atom
**Space-group type**: Cm (8)
**Volume**: 53.9 Å³ per atom
**Theoretical density**: 2.0 g cm⁻³
**Formation enthalpy at 0 K**: 0.420 eV per formula unit